1.
# MgAsSe2N | Alexandria | PBE-GGA | relaxed
data_MgAsSe2N
_chemical_formula_sum 'Mg1 As1 Se2 N1'
_cell_length_a 4.707
_cell_length_b 4.707
_cell_length_c 4.078
_cell_angle_alpha 90.00
_cell_angle_beta 90.00
_cell_angle_gamma 90.00
_symmetry_space_group_name_H-M 'P 1'
_symmetry_Int_Tables_number 1
loop_
_symmetry_equiv_pos_as_xyz
'x,y,z'
loop_
_atom_site_label
_atom_site_type_symbol
_atom_site_fract_x
_atom_site_fract_y
_atom_site_fract_z
N1 N 0.000 0.000 0.000
As1 As 0.000 0.000 0.500
Se1 Se 0.500 0.000 0.000
Se2 Se 0.000 0.500 0.000
Mg1 Mg 0.500 0.500 0.500
# excess energy over the best structure of this formula in the dataset = 139.0 meV per atom
# formation energy from raw total energies = 547 meV/atom



2.
# Mg2AgMo | Alexandria | PBE-GGA | relaxed
data_Mg2AgMo
_chemical_formula_sum 'Mg2 Ag1 Mo1'
_cell_length_a 2.851
_cell_length_b 2.851
_cell_length_c 8.714
_cell_angle_alpha 90.00
_cell_angle_beta 90.00
_cell_angle_gamma 95.00
_symmetry_space_group_name_H-M 'P 1'
_symmetry_Int_Tables_number 1
loop_
_symmetry_equiv_pos_as_xyz
'x,y,z'
loop_
_atom_site_label
_atom_site_type_symbol
_atom_site_fract_x
_atom_site_fract_y
_atom_site_fract_z
Mg1 Mg 0.000 0.000 0.002
Mg2 Mg 0.000 0.000 0.498
Mo1 Mo 0.500 0.500 0.250
Ag1 Ag 0.500 0.500 0.750
# formation energy = 0.110 eV/atom
# excess energy over the best structure of this formula in the dataset = 0.0 meV per atom



3.
# Rh3Au | Alexandria | PBE-GGA | relaxed
data_Rh3Au
_chemical_formula_sum 'Rh6 Au2'
_cell_length_a 5.545
_cell_length_b 5.545
_cell_length_c 4.573
_cell_angle_alpha 90.00
_cell_angle_beta 90.00
_cell_angle_gamma 120.00
_symmetry_space_group_name_H-M 'P 1'
_symmetry_Int_Tables_number 1
loop_
_symmetry_equiv_pos_as_xyz
'x,y,z'
loop_
_atom_site_label
_atom_site_type_symbol
_atom_site_fract_x
_atom_site_fract_y
_atom_site_fract_z
Au1 Au 0.333 0.667 0.250
Au2 Au 0.667 0.333 0.750
Rh1 Rh 0.672 0.836 0.750
Rh2 Rh 0.836 0.164 0.250
Rh3 Rh 0.328 0.164 0.250
Rh4 Rh 0.164 0.328 0.750
Rh5 Rh 0.164 0.836 0.750
Rh6 Rh 0.836 0.672 0.250
# formation energy = 0.214 eV/atom



4.
# K2Ag3Hg | Alexandria | PBE-GGA | relaxed
data_K2Ag3Hg
_chemical_formula_sum 'K2 Ag3 Hg1'
_cell_length_a 5.899
_cell_length_b 5.899
_cell_length_c 6.288
_cell_angle_alpha 89.88
_cell_angle_beta 119.31
_cell_angle_gamma 118.72
_symmetry_space_group_name_H-M 'P 1'
_symmetry_Int_Tables_number 1
loop_
_symmetry_equiv_pos_as_xyz
'x,y,z'
loop_
_atom_site_label
_atom_site_type_symbol
_atom_site_fract_x
_atom_site_fract_y
_atom_site_fract_z
Ag1 Ag 0.500 0.000 0.500
Ag2 Ag 0.000 0.000 0.500
Ag3 Ag 0.500 0.500 0.500
Hg1 Hg 0.000 0.000 0.000
K1 K 0.755 0.378 0.133
K2 K 0.245 0.622 0.867
# formation energy = -0.046 eV/atom



5.
# Tm7Co2Ag2 | Alexandria | PBE-GGA | relaxed
data_Tm7Co2Ag2
_chemical_formula_sum 'Tm7 Co2 Ag2'
_cell_length_a 3.591
_cell_length_b 9.301
_cell_length_c 9.301
_cell_angle_alpha 60.94
_cell_angle_beta 78.87
_cell_angle_gamma 78.87
_symmetry_space_group_name_H-M 'P 1'
_symmetry_Int_Tables_number 1
loop_
_symmetry_equiv_pos_as_xyz
'x,y,z'
loop_
_atom_site_label
_atom_site_type_symbol
_atom_site_fract_x
_atom_site_fract_y
_atom_site_fract_z
Tm1 Tm 0.147 0.106 0.600
Tm2 Tm 0.500 0.023 0.977
Tm3 Tm 0.813 0.090 0.284
Tm4 Tm 0.628 0.468 0.277
Tm5 Tm 0.187 0.716 0.910
Tm6 Tm 0.372 0.723 0.532
Tm7 Tm 0.853 0.400 0.894
Co1 Co 0.256 0.351 0.138
Co2 Co 0.744 0.862 0.649
Ag1 Ag 0.000 0.764 0.236
Ag2 Ag 0.500 0.351 0.649
# formation energy = -0.213 eV/atom
# excess energy over the best structure of this formula in the dataset = 0.0 meV per atom



6.
# Sc3AuO | Alexandria | PBE-GGA | relaxed
data_Sc3AuO
_chemical_formula_sum 'Sc6 Au2 O2'
_cell_length_a 6.374
_cell_length_b 6.374
_cell_length_c 6.374
_cell_angle_alpha 58.47
_cell_angle_beta 58.47
_cell_angle_gamma 58.47
_symmetry_space_group_name_H-M 'P 1'
_symmetry_Int_Tables_number 1
loop_
_symmetry_equiv_pos_as_xyz
'x,y,z'
loop_
_atom_site_label
_atom_site_type_symbol
_atom_site_fract_x
_atom_site_fract_y
_atom_site_fract_z
Sc1 Sc 0.416 0.991 0.836
Sc2 Sc 0.836 0.416 0.991
Sc3 Sc 0.584 0.009 0.164
Sc4 Sc 0.164 0.584 0.009
Sc5 Sc 0.991 0.836 0.416
Sc6 Sc 0.009 0.164 0.584
O1 O 0.832 0.832 0.832
O2 O 0.168 0.168 0.168
Au1 Au 0.400 0.400 0.400
Au2 Au 0.600 0.600 0.600
# formation energy from raw total energies = -1404 meV/atom



7.
# AcGaCl | Alexandria | PBE-GGA | relaxed
data_AcGaCl
_chemical_formula_sum 'Ac2 Ga2 Cl2'
_cell_length_a 4.420
_cell_length_b 4.421
_cell_length_c 11.425
_cell_angle_alpha 79.15
_cell_angle_beta 78.85
_cell_angle_gamma 60.01
_symmetry_space_group_name_H-M 'P 1'
_symmetry_Int_Tables_number 1
loop_
_symmetry_equiv_pos_as_xyz
'x,y,z'
loop_
_atom_site_label
_atom_site_type_symbol
_atom_site_fract_x
_atom_site_fract_y
_atom_site_fract_z
Cl1 Cl 0.288 0.278 0.145
Cl2 Cl 0.712 0.722 0.855
Ac1 Ac 0.570 0.564 0.297
Ac2 Ac 0.430 0.436 0.703
Ga1 Ga 0.156 0.157 0.531
Ga2 Ga 0.844 0.843 0.469
# formation energy from raw total energies = -1425 meV/atom



8.
# ScBeTe2I | Alexandria | PBE-GGA | relaxed
data_ScBeTe2I
_chemical_formula_sum 'Sc1 Be1 Te2 I1'
_cell_length_a 5.603
_cell_length_b 5.603
_cell_length_c 5.630
_cell_angle_alpha 90.00
_cell_angle_beta 90.00
_cell_angle_gamma 90.00
_symmetry_space_group_name_H-M 'P 1'
_symmetry_Int_Tables_number 1
loop_
_symmetry_equiv_pos_as_xyz
'x,y,z'
loop_
_atom_site_label
_atom_site_type_symbol
_atom_site_fract_x
_atom_site_fract_y
_atom_site_fract_z
I1 I 0.000 0.000 0.500
Te1 Te 0.500 0.000 0.000
Te2 Te 0.000 0.500 0.000
Sc1 Sc 0.000 0.000 0.000
Be1 Be 0.500 0.500 0.500
# excess energy over the best structure of this formula in the dataset = 203.9 meV per atom
# formation energy from raw total energies = 234 meV/atom



9.
# ReTeIr4 | Alexandria | PBE-GGA | relaxed
data_ReTeIr4
_chemical_formula_sum 'Re1 Te1 Ir4'
_cell_length_a 5.226
_cell_length_b 5.226
_cell_length_c 5.226
_cell_angle_alpha 60.00
_cell_angle_beta 60.00
_cell_angle_gamma 60.00
_symmetry_space_group_name_H-M 'P 1'
_symmetry_Int_Tables_number 1
loop_
_symmetry_equiv_pos_as_xyz
'x,y,z'
loop_
_atom_site_label
_atom_site_type_symbol
_atom_site_fract_x
_atom_site_fract_y
_atom_site_fract_z
Te1 Te 0.000 0.000 0.000
Re1 Re 0.750 0.750 0.750
Ir1 Ir 0.376 0.376 0.376
Ir2 Ir 0.376 0.873 0.376
Ir3 Ir 0.873 0.376 0.376
Ir4 Ir 0.376 0.376 0.873
# formation energy from raw total energies = 820 meV/atom



10.
# BaCo2Sb | Alexandria | PBE-GGA | relaxed
data_BaCo2Sb
_chemical_formula_sum 'Ba2 Co4 Sb2'
_cell_length_a 4.993
_cell_length_b 4.993
_cell_length_c 9.297
_cell_angle_alpha 74.42
_cell_angle_beta 74.42
_cell_angle_gamma 90.00
_symmetry_space_group_name_H-M 'P 1'
_symmetry_Int_Tables_number 1
loop_
_symmetry_equiv_pos_as_xyz
'x,y,z'
loop_
_atom_site_label
_atom_site_type_symbol
_atom_site_fract_x
_atom_site_fract_y
_atom_site_fract_z
Co1 Co 0.375 0.125 0.250
Co2 Co 0.375 0.625 0.750
Co3 Co 0.375 0.625 0.250
Co4 Co 0.875 0.625 0.750
Sb1 Sb 0.500 0.500 0.000
Sb2 Sb 0.250 0.750 0.500
Ba1 Ba 0.750 0.250 0.500
Ba2 Ba 0.000 0.000 0.000
# formation energy from raw total energies = 80 meV/atom



11.
# ScBi2Pd | Alexandria | PBE-GGA | relaxed
data_ScBi2Pd
_chemical_formula_sum 'Sc2 Bi4 Pd2'
_cell_length_a 4.684
_cell_length_b 4.684
_cell_length_c 10.195
_cell_angle_alpha 76.72
_cell_angle_beta 76.72
_cell_angle_gamma 90.00
_symmetry_space_group_name_H-M 'P 1'
_symmetry_Int_Tables_number 1
loop_
_symmetry_equiv_pos_as_xyz
'x,y,z'
loop_
_atom_site_label
_atom_site_type_symbol
_atom_site_fract_x
_atom_site_fract_y
_atom_site_fract_z
Bi1 Bi 0.113 0.625 0.250
Bi2 Bi 0.375 0.363 0.750
Bi3 Bi 0.637 0.125 0.250
Bi4 Bi 0.875 0.887 0.750
Pd1 Pd 0.750 0.250 0.500
Pd2 Pd 0.000 0.000 0.000
Sc1 Sc 0.250 0.750 0.500
Sc2 Sc 0.500 0.500 0.000
# formation energy = -0.204 eV/atom



12.
# VZn | Alexandria | PBE-GGA | relaxed
data_VZn
_chemical_formula_sum 'V4 Zn4'
_cell_length_a 5.548
_cell_length_b 5.548
_cell_length_c 5.548
_cell_angle_alpha 90.00
_cell_angle_beta 90.00
_cell_angle_gamma 90.00
_symmetry_space_group_name_H-M 'P 1'
_symmetry_Int_Tables_number 1
loop_
_symmetry_equiv_pos_as_xyz
'x,y,z'
loop_
_atom_site_label
_atom_site_type_symbol
_atom_site_fract_x
_atom_site_fract_y
_atom_site_fract_z
V1 V 0.250 0.750 0.750
V2 V 0.750 0.750 0.250
V3 V 0.750 0.250 0.750
V4 V 0.250 0.250 0.250
Zn1 Zn 0.000 0.500 0.500
Zn2 Zn 0.000 0.000 0.000
Zn3 Zn 0.500 0.500 0.000
Zn4 Zn 0.500 0.000 0.500
# formation energy = 1.740 eV/atom



13.
# HfZrSiW2 | Alexandria | PBE-GGA | relaxed
data_HfZrSiW2
_chemical_formula_sum 'Hf1 Zr1 Si1 W2'
_cell_length_a 4.773
_cell_length_b 5.133
_cell_length_c 4.773
_cell_angle_alpha 90.00
_cell_angle_beta 90.00
_cell_angle_gamma 90.00
_symmetry_space_group_name_H-M 'P 1'
_symmetry_Int_Tables_number 1
loop_
_symmetry_equiv_pos_as_xyz
'x,y,z'
loop_
_atom_site_label
_atom_site_type_symbol
_atom_site_fract_x
_atom_site_fract_y
_atom_site_fract_z
W1 W 0.500 0.000 0.000
W2 W 0.000 0.000 0.500
Hf1 Hf 0.000 0.500 0.000
Zr1 Zr 0.000 0.000 0.000
Si1 Si 0.500 0.500 0.500
# formation energy from raw total energies = 2241 meV/atom



14.
# LaZn5 | Alexandria | PBE-GGA | relaxed
data_LaZn5
_chemical_formula_sum 'La1 Zn5'
_cell_length_a 5.462
_cell_length_b 5.462
_cell_length_c 5.462
_cell_angle_alpha 60.00
_cell_angle_beta 60.00
_cell_angle_gamma 60.00
_symmetry_space_group_name_H-M 'P 1'
_symmetry_Int_Tables_number 1
loop_
_symmetry_equiv_pos_as_xyz
'x,y,z'
loop_
_atom_site_label
_atom_site_type_symbol
_atom_site_fract_x
_atom_site_fract_y
_atom_site_fract_z
Zn1 Zn 0.624 0.127 0.624
Zn2 Zn 0.127 0.624 0.624
Zn3 Zn 0.250 0.250 0.250
Zn4 Zn 0.624 0.624 0.127
Zn5 Zn 0.624 0.624 0.624
La1 La 0.000 0.000 0.000
# formation energy = -0.137 eV/atom
# excess energy over the best structure of this formula in the dataset = 169.0 meV per atom



15.
# TlNi2Ag | Alexandria | PBE-GGA | relaxed
data_TlNi2Ag
_chemical_formula_sum 'Tl2 Ni4 Ag2'
_cell_length_a 7.068
_cell_length_b 7.068
_cell_length_c 5.698
_cell_angle_alpha 51.67
_cell_angle_beta 51.67
_cell_angle_gamma 90.00
_symmetry_space_group_name_H-M 'P 1'
_symmetry_Int_Tables_number 1
loop_
_symmetry_equiv_pos_as_xyz
'x,y,z'
loop_
_atom_site_label
_atom_site_type_symbol
_atom_site_fract_x
_atom_site_fract_y
_atom_site_fract_z
Tl1 Tl 0.000 0.000 0.000
Tl2 Tl 0.750 0.250 0.500
Ag1 Ag 0.250 0.750 0.500
Ag2 Ag 0.500 0.500 0.000
Ni1 Ni 0.127 0.625 0.250
Ni2 Ni 0.875 0.873 0.750
Ni3 Ni 0.623 0.125 0.250
Ni4 Ni 0.375 0.377 0.750
# formation energy = 0.540 eV/atom
# excess energy over the best structure of this formula in the dataset = 297.6 meV per atom



16.
# Zr5PaCo3 | Alexandria | PBE-GGA | relaxed
data_Zr5PaCo3
_chemical_formula_sum 'Zr10 Pa2 Co6'
_cell_length_a 7.061
_cell_length_b 6.581
_cell_length_c 9.312
_cell_angle_alpha 93.57
_cell_angle_beta 122.04
_cell_angle_gamma 96.97
_symmetry_space_group_name_H-M 'P 1'
_symmetry_Int_Tables_number 1
loop_
_symmetry_equiv_pos_as_xyz
'x,y,z'
loop_
_atom_site_label
_atom_site_type_symbol
_atom_site_fract_x
_atom_site_fract_y
_atom_site_fract_z
Zr1 Zr 0.212 0.177 0.578
Zr2 Zr 0.268 0.345 0.923
Zr3 Zr 0.732 0.655 0.077
Zr4 Zr 0.275 0.839 0.354
Zr5 Zr 0.376 0.903 0.070
Zr6 Zr 0.624 0.097 0.930
Zr7 Zr 0.715 0.320 0.328
Zr8 Zr 0.285 0.680 0.672
Zr9 Zr 0.725 0.161 0.646
Zr10 Zr 0.788 0.823 0.422
Co1 Co 0.000 0.000 0.000
Co2 Co 0.591 0.424 0.795
Co3 Co 0.916 0.046 0.249
Co4 Co 0.409 0.576 0.205
Co5 Co 0.500 0.500 0.500
Co6 Co 0.084 0.954 0.751
Pa1 Pa 0.844 0.678 0.776
Pa2 Pa 0.156 0.322 0.224
# formation energy = -0.155 eV/atom



17.
# MgTlAsIr2 | Alexandria | PBE-GGA | relaxed
data_MgTlAsIr2
_chemical_formula_sum 'Mg1 Tl1 As1 Ir2'
_cell_length_a 4.606
_cell_length_b 5.483
_cell_length_c 4.606
_cell_angle_alpha 90.00
_cell_angle_beta 90.00
_cell_angle_gamma 90.00
_symmetry_space_group_name_H-M 'P 1'
_symmetry_Int_Tables_number 1
loop_
_symmetry_equiv_pos_as_xyz
'x,y,z'
loop_
_atom_site_label
_atom_site_type_symbol
_atom_site_fract_x
_atom_site_fract_y
_atom_site_fract_z
Tl1 Tl 0.000 0.500 0.000
Mg1 Mg 0.500 0.500 0.500
Ir1 Ir 0.500 0.000 0.000
Ir2 Ir 0.000 0.000 0.500
As1 As 0.000 0.000 0.000
# formation energy = 0.724 eV/atom



18.
# PrMgSn | Alexandria | PBE-GGA | relaxed
data_PrMgSn
_chemical_formula_sum 'Pr1 Mg1 Sn1'
_cell_length_a 3.771
_cell_length_b 4.983
_cell_length_c 4.983
_cell_angle_alpha 120.00
_cell_angle_beta 90.00
_cell_angle_gamma 90.00
_symmetry_space_group_name_H-M 'P 1'
_symmetry_Int_Tables_number 1
loop_
_symmetry_equiv_pos_as_xyz
'x,y,z'
loop_
_atom_site_label
_atom_site_type_symbol
_atom_site_fract_x
_atom_site_fract_y
_atom_site_fract_z
Sn1 Sn 0.167 0.667 0.333
Mg1 Mg 0.167 0.000 0.000
Pr1 Pr 0.667 0.333 0.667
# formation energy = -0.514 eV/atom



19.
# Be5PIr6 | Alexandria | PBE-GGA | relaxed
data_Be5PIr6
_chemical_formula_sum 'Be5 P1 Ir6'
_cell_length_a 4.002
_cell_length_b 5.676
_cell_length_c 6.919
_cell_angle_alpha 114.20
_cell_angle_beta 106.79
_cell_angle_gamma 90.00
_symmetry_space_group_name_H-M 'P 1'
_symmetry_Int_Tables_number 1
loop_
_symmetry_equiv_pos_as_xyz
'x,y,z'
loop_
_atom_site_label
_atom_site_type_symbol
_atom_site_fract_x
_atom_site_fract_y
_atom_site_fract_z
Ir1 Ir 0.835 0.585 0.669
Ir2 Ir 0.500 0.751 0.000
Ir3 Ir 0.165 0.415 0.331
Ir4 Ir 0.835 0.084 0.669
Ir5 Ir 0.165 0.916 0.331
Ir6 Ir 0.500 0.249 0.000
Be1 Be 0.673 0.174 0.347
Be2 Be 0.327 0.826 0.653
Be3 Be 0.000 0.500 0.000
Be4 Be 0.667 0.668 0.336
Be5 Be 0.333 0.332 0.664
P1 P 0.000 0.000 0.000
# formation energy = -0.580 eV/atom



20.
# HgSb2TeN | Alexandria | PBE-GGA | relaxed
data_HgSb2TeN
_chemical_formula_sum 'Hg1 Sb2 Te1 N1'
_cell_length_a 4.824
_cell_length_b 4.824
_cell_length_c 4.946
_cell_angle_alpha 90.00
_cell_angle_beta 90.00
_cell_angle_gamma 90.00
_symmetry_space_group_name_H-M 'P 1'
_symmetry_Int_Tables_number 1
loop_
_symmetry_equiv_pos_as_xyz
'x,y,z'
loop_
_atom_site_label
_atom_site_type_symbol
_atom_site_fract_x
_atom_site_fract_y
_atom_site_fract_z
Sb1 Sb 0.000 0.500 0.000
Sb2 Sb 0.500 0.000 0.000
Te1 Te 0.000 0.000 0.500
Hg1 Hg 0.500 0.500 0.500
N1 N 0.000 0.000 0.000
# excess energy over the best structure of this formula in the dataset = 0.0 meV per atom
# formation energy from raw total energies = 647 meV/atom